A relaxed structure of TcSbTe2. Source: the Alexandria database, functional PBE.

Cell lengths 5.300, 5.300, 5.300 Å; angles 127.66, 127.66, 77.18 degrees
Element x y z (fractional)
Sb  0.500  0.500  0.000
Tc  0.750  0.250  0.500
Te  0.000  0.000  0.000
Te  0.250  0.750  0.500

Results
Formation energy (no corrections) = 64.0 kJ per mole of atoms
V = 22.64 A^3/atom
Space-group type = I-4m2 (119)
Magnetic moment = 0.0 μB per cell